No. 1
VASP calculation (PBE-GGA) on a relaxed structure of DyHoCoAg.

Cell lengths 3.3631, 3.3631, 7.5119 Å; angles 90.00, 90.00, 90.00 degrees
Space group P4mm (No. 99)
One atom of each set of equivalent atoms:
1 Dy 0.0000 0.0000 0.0000 x1
2 Ho 0.0000 0.0000 0.5616 x1
3 Co 0.5000 0.5000 0.7795 x1
4 Ag 0.5000 0.5000 0.2831 x1

Values from the calculation:
M_tot	0.65	Bohr magnetons per cell
ΔH_f (0 K)	-5.79	kcal/mol of atoms


No. 2
VASP calculation (PBE-GGA) on a relaxed structure of DyHoCoAg.

Cell lengths 6.9703, 6.9703, 6.9703 Å; angles 90.00, 90.00, 90.00 degrees
Space group F-43m (No. 216)
One atom of each set of equivalent atoms:
1 Dy 0.0000 0.0000 0.0000 x4
2 Ho 0.0000 0.0000 0.5000 x4
3 Co 0.2500 0.2500 0.7500 x4
4 Ag 0.2500 0.2500 0.2500 x4

Values from the calculation:
M_tot	1.65	Bohr magnetons per cell
ΔH_f (0 K)	-4.31	kcal/mol of atoms


No. 3
VASP calculation (PBE-GGA) on a relaxed structure of LaDyCoAg.

Cell lengths 7.1831, 7.1831, 7.1831 Å; angles 90.00, 90.00, 90.00 degrees
Space group F-43m (No. 216)
One atom of each set of equivalent atoms:
1 La 0.0000 0.0000 0.0000 x4
2 Dy 0.0000 0.0000 0.5000 x4
3 Co 0.2500 0.2500 0.2500 x4
4 Ag 0.2500 0.2500 0.7500 x4

Values from the calculation:
M_tot	2.01	Bohr magnetons per cell
ΔH_f (0 K)	-2.26	kcal/mol of atoms


No. 4
VASP calculation (PBE-GGA) on a relaxed structure of La2DyCoAg.

Cell lengths 5.2256, 5.2256, 5.3405 Å; angles 90.00, 90.00, 90.00 degrees
Space group P4mm (No. 99)
One atom of each set of equivalent atoms:
1 La 0.0000 0.5000 0.0000 x2
2 Dy 0.0000 0.0000 0.5004 x1
3 Co 0.0000 0.0000 0.0005 x1
4 Ag 0.5000 0.5000 0.5028 x1

Values from the calculation:
M_tot	0.00	Bohr magnetons per cell
ΔH_f (0 K)	-1.50	kcal/mol of atoms


No. 5
VASP calculation (PBE-GGA) on a relaxed structure of DyLuCoAg.

Cell lengths 6.9117, 6.9117, 6.9117 Å; angles 90.00, 90.00, 90.00 degrees
Space group F-43m (No. 216)
One atom of each set of equivalent atoms:
1 Dy 0.0000 0.0000 0.0000 x4
2 Lu 0.0000 0.0000 0.5000 x4
3 Co 0.2500 0.2500 0.2500 x4
4 Ag 0.2500 0.2500 0.7500 x4

Values from the calculation:
M_tot	1.49	Bohr magnetons per cell
ΔH_f (0 K)	-4.78	kcal/mol of atoms


No. 6
VASP calculation (PBE-GGA) on a relaxed structure of DyMgCoAg.

Cell lengths 6.7289, 6.7289, 6.7289 Å; angles 90.00, 90.00, 90.00 degrees
Space group F-43m (No. 216)
One atom of each set of equivalent atoms:
1 Dy 0.0000 0.0000 0.0000 x4
2 Mg 0.0000 0.0000 0.5000 x4
3 Co 0.2500 0.2500 0.7500 x4
4 Ag 0.2500 0.2500 0.2500 x4

Values from the calculation:
M_tot	1.91	Bohr magnetons per cell
ΔH_f (0 K)	-1.47	kcal/mol of atoms


No. 7
VASP calculation (PBE-GGA) on a relaxed structure of PmDyCoAg.

Cell lengths 7.0877, 7.0877, 7.0877 Å; angles 90.00, 90.00, 90.00 degrees
Space group F-43m (No. 216)
One atom of each set of equivalent atoms:
1 Pm 0.0000 0.0000 0.0000 x4
2 Dy 0.0000 0.0000 0.5000 x4
3 Co 0.2500 0.2500 0.2500 x4
4 Ag 0.2500 0.2500 0.7500 x4

Values from the calculation:
M_tot	1.89	Bohr magnetons per cell
ΔH_f (0 K)	-2.90	kcal/mol of atoms


No. 8
VASP calculation (PBE-GGA) on a relaxed structure of PrDyCoAg.

Cell lengths 7.1470, 7.1470, 7.1470 Å; angles 90.00, 90.00, 90.00 degrees
Space group F-43m (No. 216)
One atom of each set of equivalent atoms:
1 Pr 0.0000 0.0000 0.0000 x4
2 Dy 0.0000 0.0000 0.5000 x4
3 Co 0.2500 0.2500 0.2500 x4
4 Ag 0.2500 0.2500 0.7500 x4

Values from the calculation:
M_tot	2.02	Bohr magnetons per cell
ΔH_f (0 K)	-2.16	kcal/mol of atoms


No. 9
VASP calculation (PBE-GGA) on a relaxed structure of DyPuCoAg.

Cell lengths 7.0151, 7.0151, 7.0151 Å; angles 90.00, 90.00, 90.00 degrees
Space group F-43m (No. 216)
One atom of each set of equivalent atoms:
1 Dy 0.0000 0.0000 0.0000 x4
2 Pu 0.0000 0.0000 0.5000 x4
3 Co 0.2500 0.2500 0.2500 x4
4 Ag 0.2500 0.2500 0.7500 x4

Values from the calculation:
M_tot	20.31	Bohr magnetons per cell
ΔH_f (0 K)	0.91	kcal/mol of atoms


No. 10
VASP calculation (PBE-GGA) on a relaxed structure of DyScCoAg.

Cell lengths 3.2435, 3.2435, 7.4042 Å; angles 90.00, 90.00, 90.00 degrees
Space group P4mm (No. 99)
One atom of each set of equivalent atoms:
1 Dy 0.0000 0.0000 0.0000 x1
2 Sc 0.0000 0.0000 0.5682 x1
3 Co 0.5000 0.5000 0.7643 x1
4 Ag 0.5000 0.5000 0.3070 x1

Values from the calculation:
M_tot	0.44	Bohr magnetons per cell
ΔH_f (0 K)	-6.35	kcal/mol of atoms


No. 11
VASP calculation (PBE-GGA) on a relaxed structure of DyScCoAg.

Cell lengths 6.7913, 6.7913, 6.7913 Å; angles 90.00, 90.00, 90.00 degrees
Space group F-43m (No. 216)
One atom of each set of equivalent atoms:
1 Dy 0.0000 0.0000 0.0000 x4
2 Sc 0.0000 0.0000 0.5000 x4
3 Co 0.2500 0.2500 0.2500 x4
4 Ag 0.2500 0.2500 0.7500 x4

Values from the calculation:
M_tot	1.51	Bohr magnetons per cell
ΔH_f (0 K)	-4.32	kcal/mol of atoms


No. 12
VASP calculation (PBE-GGA) on a relaxed structure of SmDyCoAg.

Cell lengths 7.0675, 7.0675, 7.0675 Å; angles 90.00, 90.00, 90.00 degrees
Space group F-43m (No. 216)
One atom of each set of equivalent atoms:
1 Sm 0.0000 0.0000 0.0000 x4
2 Dy 0.0000 0.0000 0.5000 x4
3 Co 0.2500 0.2500 0.7500 x4
4 Ag 0.2500 0.2500 0.2500 x4

Values from the calculation:
M_tot	1.85	Bohr magnetons per cell
ΔH_f (0 K)	-3.14	kcal/mol of atoms